An optimized crystal structure of LiMnTe2O8. Source: the Alexandria database, functional GGA+U.

Cell lengths 5.940, 5.940, 5.940 Å; angles 108.27, 108.27, 111.90 degrees
Atoms (fractional coordinates):
1 Li 0.000 0.000 0.000
2 Mn 0.750 0.250 0.500
3 Te 0.250 0.750 0.500
4 Te 0.500 0.500 0.000
5 O 0.065 0.367 0.302
6 O 0.065 0.763 0.698
7 O 0.117 0.319 0.798
8 O 0.237 0.935 0.302
9 O 0.520 0.319 0.202
10 O 0.633 0.935 0.698
11 O 0.681 0.480 0.798
12 O 0.681 0.883 0.202

## Properties
M_tot   3.94 μB per formula unit
Fermi-level density of states   7.416 states/eV/cell
E   -5.505 eV/atom